KTl2Ni: relaxed, PBE-GGA.

Cell: 5.2702 5.2702 7.6407 Å, 90.00 90.00 90.00°
Closest atoms and distances in Å follow each position.
Positions (direct):
1 K 0.0000 0.0000 0.0000  4 Tl 3.25, 4 Ni 3.25
2 K 0.5000 0.5000 0.5000  4 Tl 3.25, 4 Ni 3.25
3 Tl 0.0000 0.0000 0.5000  4 Tl 3.25, 4 Ni 3.25
4 Tl 0.0000 0.5000 0.2500  4 Tl 3.25, 4 K 3.25
5 Tl 0.5000 0.0000 0.7500  4 Tl 3.25, 4 K 3.25
6 Tl 0.5000 0.5000 0.0000  4 Tl 3.25, 4 Ni 3.25
7 Ni 0.0000 0.5000 0.7500  4 Tl 3.25, 4 K 3.25
8 Ni 0.5000 0.0000 0.2500  4 Tl 3.25, 4 K 3.25

As for the density of states at the Fermi level: 0.5605 states/eV/atom. The formation energy from the elements comes out at 0.4248 eV per atom. The space-group type is I-4m2, No. 119. As for the total magnetization: 0.000 μB per atom. The calculation puts the total energy at -19.825 eV for the cell shown.